{"formula": "La2InPb", "functional": "meta-GGA SCAN", "state": "single point on PBEsol structure", "formation_energy_ev_per_atom": -0.749, "vol_a3_per_cell": 118, "magmom_total_mub_per_atom": 0.0000, "lattice_angstrom": [[-2.1172, -2.5619, 1.4006], [3.4801, -2.8783, -0.0041], [1.7951, 2.1608, 6.6660]], "species": ["Pb", "In", "La", "La"], "fractional_positions": [[0.5000, 0.5000, 0.0000], [0.5000, 0.5000, 0.5000], [0.0000, 0.0000, 0.7465], [0.0000, 0.0000, 0.2535]]}